(1)
First-principles (PBE) data for GeHRh2 after structural relaxation, as listed in Alexandria. Values from VASP.

Quantum ESPRESSO input file:
```
&SYSTEM
  ibrav = 0, nat = 12, ntyp = 3
/
ATOMIC_SPECIES
Ge 72.64 Ge.upf
H 1.01 H.upf
Rh 102.91 Rh.upf
CELL_PARAMETERS angstrom
3.0073 0.0000 0.0000
-1.5037 2.6044 0.0000
0.0000 0.0000 17.9713
ATOMIC_POSITIONS crystal
Ge 0.0000 0.0000 0.0000
Ge 0.3333 0.6667 0.6667
Ge 0.6667 0.3333 0.3333
H 0.0000 0.0000 0.1825
H 0.3333 0.6667 0.8491
H 0.6667 0.3333 0.5158
Rh 0.0000 0.0000 0.5643
Rh 0.0000 0.0000 0.7648
Rh 0.3333 0.6667 0.2310
Rh 0.3333 0.6667 0.4314
Rh 0.6667 0.3333 0.0981
Rh 0.6667 0.3333 0.8976
```

Results
* space group: No. 160

=====

(2)
First-principles (PBE) data for As2Rh3 after structural relaxation, as listed in Alexandria. Values from VASP.

Quantum ESPRESSO input file:
```
&SYSTEM
  ibrav = 0, nat = 15, ntyp = 2
/
ATOMIC_SPECIES
As 74.92 As.upf
Rh 102.91 Rh.upf
CELL_PARAMETERS angstrom
4.0809 0.0000 0.0000
-2.0404 3.5341 0.0000
0.0000 0.0000 15.9084
ATOMIC_POSITIONS crystal
As 0.0000 0.0000 0.0916
As 0.0000 0.0000 0.9084
As 0.3333 0.6667 0.5750
As 0.3333 0.6667 0.7583
As 0.6667 0.3333 0.2417
As 0.6667 0.3333 0.4250
Rh 0.0000 0.0000 0.2769
Rh 0.0000 0.0000 0.5000
Rh 0.0000 0.0000 0.7231
Rh 0.3333 0.6667 0.1667
Rh 0.3333 0.6667 0.3898
Rh 0.3333 0.6667 0.9435
Rh 0.6667 0.3333 0.0565
Rh 0.6667 0.3333 0.6102
Rh 0.6667 0.3333 0.8333
```

Results
* space group: No. 166
* ΔE_f: -278 meV/atom

=====

(3)
First-principles (PBE) data for SmAgOs2O8 after structural relaxation, as listed in Alexandria. Values from VASP.

Quantum ESPRESSO input file:
```
&SYSTEM
  ibrav = 0, nat = 12, ntyp = 4
/
ATOMIC_SPECIES
Sm 150.36 Sm.upf
Ag 107.87 Ag.upf
Os 190.23 Os.upf
O 16.00 O.upf
CELL_PARAMETERS angstrom
6.0928 0.0000 0.0000
-3.0464 5.2765 0.0000
0.0000 0.0000 6.7809
ATOMIC_POSITIONS crystal
Sm 0.0000 0.0000 0.0000
Ag 0.0000 0.0000 0.5000
Os 0.3333 0.6667 0.3060
Os 0.6667 0.3333 0.6940
O 0.1688 0.3401 0.2164
O 0.1712 0.8312 0.2164
O 0.3333 0.6667 0.5652
O 0.3401 0.1712 0.7836
O 0.6599 0.8288 0.2164
O 0.6667 0.3333 0.4348
O 0.8288 0.1688 0.7836
O 0.8312 0.6599 0.7836
```

Results
* raw formation energy: -14.45 eV/f.u.
* space group: No. 147

=====

(4)
First-principles (PBE) data for Tb2NdS after structural relaxation, as listed in Alexandria. Values from VASP.

Quantum ESPRESSO input file:
```
&SYSTEM
  ibrav = 0, nat = 12, ntyp = 3
/
ATOMIC_SPECIES
Tb 158.93 Tb.upf
Nd 144.24 Nd.upf
S 32.06 S.upf
CELL_PARAMETERS angstrom
3.7672 0.0000 0.0000
-1.8836 3.2625 0.0000
0.0000 0.0000 28.2042
ATOMIC_POSITIONS crystal
Tb 0.0000 0.0000 0.0000
Tb 0.0000 0.0000 0.2143
Tb 0.3333 0.6667 0.6667
Tb 0.3333 0.6667 0.8810
Tb 0.6667 0.3333 0.3333
Tb 0.6667 0.3333 0.5477
Nd 0.0000 0.0000 0.4404
Nd 0.3333 0.6667 0.1070
Nd 0.6667 0.3333 0.7737
S 0.0000 0.0000 0.6073
S 0.3333 0.6667 0.2739
S 0.6667 0.3333 0.9406
```

Results
* raw formation energy: -3.79 eV/f.u.
* space group: No. 160

=====

| no. | raw total energy (eV per cell) |
| --- | --- |
| 1 | -70.526 |
| 2 | -98.233 |
| 3 | -84.142 |
| 4 | -65.823 |